Pu3Cd3Hg2 | PBE | relaxed

Unit cell a=3.083 b=8.851 c=8.851 alpha=120.00 beta=90.00 gamma=90.00
Site moments in Bohr magnetons follow the coordinates.
Fractional positions:
Pu: 0.500 0.361 0.361  5.60
Pu: 0.500 0.639 0.000  5.60
Pu: 0.500 0.000 0.639  5.60
Cd: 0.000 0.713 0.713  0.01
Cd: 0.000 0.287 0.000  0.01
Cd: 0.000 0.000 0.287  0.01
Hg: 0.000 0.333 0.667  0.01
Hg: 0.000 0.667 0.333  0.01

Results
- Offset from the most stable computed form: 23.6 meV/atom
- DFT formation energy: -0.022 eV per atom
- Size of the total moment: 17.7 μB per formula unit